No. 1
# MgTl6Cd | Alexandria via LeMat-Bulk | PBE | optimized geometry
# - crystal system = orthorhombic
# - polymorph energy (0 for the lowest one) (meV/atom) = 0.0
# - total DFT energy (no corrections) (eV/atom) = -2.044
data_MgTl6Cd
_cell_length_a 9.0639
_cell_length_b 9.2393
_cell_length_c 5.5230
_cell_angle_alpha 90.00
_cell_angle_beta 90.00
_cell_angle_gamma 90.00
_space_group_name_H-M_alt 'C m m m'
_space_group_IT_number 65
_space_group_name_Hall '-C 2 2'
loop_
_atom_site_label
_atom_site_type_symbol
_atom_site_fract_x
_atom_site_fract_y
_atom_site_fract_z
Mg1 Mg 0.0000 0.0000 0.0000
Tl1 Tl 0.0000 0.1978 0.5000
Tl2 Tl 0.1979 0.5000 0.5000
Tl3 Tl 0.2500 0.2500 0.0000
Cd1 Cd 0.0000 0.5000 0.0000

---

No. 2
# Ir5Ru2Rh3 | Alexandria via LeMat-Bulk | PBE | optimized geometry
# - crystal system = triclinic
# - polymorph energy (0 for the lowest one) (meV/atom) = 0.0
# - total DFT energy (no corrections) (eV/atom) = -8.094
data_Ir5Ru2Rh3
_cell_length_a 4.3501
_cell_length_b 4.6710
_cell_length_c 9.0877
_cell_angle_alpha 77.07
_cell_angle_beta 78.47
_cell_angle_gamma 62.26
_space_group_name_H-M_alt 'P -1'
_space_group_IT_number 2
loop_
_space_group_symop_operation_xyz
'x,y,z'
'-x,-y,-z'
loop_
_atom_site_label
_atom_site_type_symbol
_atom_site_fract_x
_atom_site_fract_y
_atom_site_fract_z
Ir1 Ir 0.0000 0.0000 0.0000
Ir2 Ir 0.2484 0.7145 0.2606
Ir3 Ir 0.3050 0.3487 0.5511
Ru1 Ru 0.4482 0.8876 0.7712
Rh1 Rh 0.0000 0.0000 0.5000
Rh2 Rh 0.0792 0.5280 0.8526

---

No. 3
# IrC | Alexandria via LeMat-Bulk | PBE | optimized geometry
# - crystal system = monoclinic
# - polymorph energy (0 for the lowest one) (meV/atom) = 348.8
# - total DFT energy (no corrections) (eV/atom) = -8.236
data_IrC
_cell_length_a 8.0460
_cell_length_b 3.6443
_cell_length_c 5.4688
_cell_angle_alpha 90.00
_cell_angle_beta 114.29
_cell_angle_gamma 90.00
_space_group_name_H-M_alt 'C 1 m 1'
_space_group_IT_number 8
loop_
_space_group_symop_operation_xyz
'x,y,z'
'x,-y,z'
'x+1/2,y+1/2,z'
'x+1/2,-y+1/2,z'
loop_
_atom_site_label
_atom_site_type_symbol
_atom_site_fract_x
_atom_site_fract_y
_atom_site_fract_z
Ir1 Ir 0.0000 0.0000 0.0000
Ir2 Ir 0.1393 0.5000 0.7309
Ir3 Ir 0.3569 0.5000 0.4105
C1 C 0.1114 0.5000 0.0774
C2 C 0.1422 0.0000 0.5623
C3 C 0.2296 0.0000 0.3869

---

No. 4
# KCu2Br4 | Alexandria via LeMat-Bulk | PBE | optimized geometry
# - formation energy (no corrections) (eV/f.u.) = -4.73
# - crystal system = triclinic
# - polymorph energy (0 for the lowest one) (meV/atom) = 0.0
# - total DFT energy (no corrections) (eV/atom) = -2.959
data_KCu2Br4
_cell_length_a 7.1939
_cell_length_b 7.2023
_cell_length_c 9.2365
_cell_angle_alpha 90.40
_cell_angle_beta 90.33
_cell_angle_gamma 90.24
_space_group_name_H-M_alt 'P 1'
_space_group_IT_number 1
loop_
_space_group_symop_operation_xyz
'x,y,z'
loop_
_atom_site_label
_atom_site_type_symbol
_atom_site_fract_x
_atom_site_fract_y
_atom_site_fract_z
K1 K 0.0000 0.0000 0.0000
K2 K 0.9998 0.0016 0.4998
Cu1 Cu 0.0017 0.5020 0.2499
Cu2 Cu 0.5008 0.0012 0.7507
Cu3 Cu 0.5010 0.5011 0.7507
Cu4 Cu 0.5014 0.5020 0.2499
Br1 Br 0.2493 0.2656 0.2507
Br2 Br 0.2496 0.7385 0.2496
Br3 Br 0.2643 0.2490 0.7517
Br4 Br 0.2637 0.7526 0.7501
Br5 Br 0.7374 0.2493 0.7508
Br6 Br 0.7368 0.7529 0.7489
Br7 Br 0.7529 0.2652 0.2501
Br8 Br 0.7530 0.7379 0.2486

---

> Which formula does entry 2 have?

Ir5Ru2Rh3

---

> Number 2 is which compound?

Ir5Ru2Rh3